This record from Alexandria via LeMat-Bulk describes a relaxed Fe4Ge2N crystal. The functional is PBE-GGA.

```
Fe4Ge2N
1.0
-2.9047 2.1118 0.9720
-2.2970 -2.3676 -1.7203
-3.1903 -3.3277 4.8166
Ge Fe N
2 4 1
direct
0.3539 0.3539 0.2922
0.6461 0.6461 0.7078
0.0000 0.5000 0.0000
0.1572 0.1572 0.6856
0.5000 0.0000 0.0000
0.8428 0.8428 0.3144
0.0000 0.0000 0.0000
```

Summary:
The calculation puts the raw formation energy at 0.017 eV/atom. Its uncorrected energy is -7.3278 eV per atom. The space group is No. 139.



This record from Alexandria via LeMat-Bulk describes a relaxed Nd6SnTe4 crystal. The functional is PBE-GGA.

```
Nd6SnTe4
1.0
4.4421 0.0000 0.0000
-2.2210 7.2435 0.0000
0.0000 0.0000 22.4886
Te Nd Sn
8 12 2
direct
0.8534 0.7069 0.5362
0.5816 0.1631 0.6270
0.1466 0.2931 0.0362
0.8534 0.7069 0.9638
0.5816 0.1631 0.8730
0.4184 0.8369 0.3730
0.4184 0.8369 0.1270
0.1466 0.2931 0.4638
0.5000 0.0000 0.0000
0.3271 0.6542 0.2500
0.2331 0.4662 0.8957
0.0613 0.1226 0.3323
0.5000 0.0000 0.5000
0.6729 0.3458 0.7500
0.7669 0.5338 0.1043
0.9387 0.8774 0.8323
0.2331 0.4662 0.6043
0.9387 0.8774 0.6677
0.0613 0.1226 0.1677
0.7669 0.5338 0.3957
0.6711 0.3423 0.2500
0.3289 0.6577 0.7500
```

Summary:
The calculation puts the raw formation energy at -1.173 eV/atom. Its uncorrected energy is -5.2802 eV per atom. The space group is No. 63.



This record from Alexandria via LeMat-Bulk describes a relaxed CeInSe2 crystal. The functional is PBE-GGA.

```
CeInSe2
1.0
-0.3517 1.3199 3.5807
-0.5145 -4.6845 1.6763
4.9541 -0.3269 0.6071
Se Ce In
2 1 1
direct
0.0000 0.5000 0.0000
0.0000 0.0000 0.5000
0.5000 0.5000 0.5000
0.5000 0.0000 0.0000
```

Summary:
The calculation puts the raw formation energy at -1.074 eV/atom. Its uncorrected energy is -4.9845 eV per atom. The space group is No. 123.



This record from Alexandria via LeMat-Bulk describes a relaxed NaYInAu crystal. The functional is PBE-GGA.

```
NaYInAu
1.0
5.1233 0.0000 0.0000
2.5616 4.4369 0.0000
2.5616 1.4790 4.1831
Y In Au Na
1 1 1 1
direct
0.2500 0.2500 0.2500
0.5000 0.5000 0.5000
0.0000 0.0000 0.0000
0.7500 0.7500 0.7500
```

Summary:
For the formation enthalpy at 0 K, the calculation gives -1.572 eV/f.u. Its uncorrected energy is -3.8427 eV per atom. The space group is No. 216.



- Which of these has the lowest uncorrected energy?
  Fe4Ge2N



- The lowest uncorrected energy belongs to which entry?
  Fe4Ge2N



- Which of these has the lowest uncorrected energy?
  Fe4Ge2N